No. 1
VASP calculation (PBE) on an optimized crystal structure of Fe3Cu2.

It has space group Fdd2 (No. 43), with a = 8.7372 Å, b = 12.3991 Å, c = 4.4432 Å, α = 90.00°, β = 90.00° and γ = 90.00°. The asymmetric unit holds Fe at (0.0000, 0.0000, 0.0000), Fe at (0.0324, 0.4007, 0.0280) and Cu at (0.0216, 0.2978, 0.5490).

The total energy comes out at -6.508 eV/atom.



No. 2
VASP calculation (PBE) on an optimized crystal structure of FeCu.

It has space group P6_3/mmc (No. 194), with a = 3.9917 Å, b = 3.9917 Å, c = 7.2747 Å, α = 90.00°, β = 90.00° and γ = 120.00°. The asymmetric unit holds Fe at (0.0000, 0.0000, 0.2500), Fe at (0.3333, 0.6667, 0.2500) and Cu at (0.3333, 0.6667, 0.5807).

The total energy comes out at -5.891 eV/atom.



No. 3
VASP calculation (PBE) on an optimized crystal structure of Fe5Cu.

It has space group Amm2 (No. 38), with a = 4.0672 Å, b = 2.4517 Å, c = 13.2987 Å, α = 90.00°, β = 90.00° and γ = 90.00°. The asymmetric unit holds Fe at (0.0000, 0.0000, 0.0000), Fe at (0.0000, 0.0000, 0.3286), Fe at (0.0000, 0.0000, 0.6654), Fe at (0.5000, 0.0000, 0.1056), Fe at (0.5000, 0.0000, 0.7664) and Cu at (0.5000, 0.0000, 0.4362).

The total energy comes out at -7.587 eV/atom. Its polymorph energy (0 for the lowest one) is 51 meV/atom.



No. 4
VASP calculation (PBE) on an optimized crystal structure of Ga2FeCu2.

It has space group I4/mmm (No. 139), with a = 3.6443 Å, b = 3.6443 Å, c = 11.2016 Å, α = 90.00°, β = 90.00° and γ = 90.00°. The asymmetric unit holds Ga at (0.0000, 0.5000, 0.2500), Fe at (0.0000, 0.0000, 0.0000) and Cu at (0.0000, 0.0000, 0.3987).

The total energy comes out at -4.211 eV/atom. Its polymorph energy (0 for the lowest one) is 230 meV/atom.



No. 5
VASP calculation (PBE) on an optimized crystal structure of GaFeCu3.

It has space group Pm-3m (No. 221), with a = 4.4776 Å, b = 4.4776 Å, c = 4.4776 Å, α = 90.00°, β = 90.00° and γ = 90.00°. The asymmetric unit holds Ga at (0.0000, 0.0000, 0.0000), Fe at (0.5000, 0.5000, 0.5000) and Cu at (0.0000, 0.5000, 0.5000).

The total energy comes out at -3.812 eV/atom. Its polymorph energy (0 for the lowest one) is 27 meV/atom.



No. 6
VASP calculation (PBE) on an optimized crystal structure of GaFeCu3.

It has space group Pm-3m (No. 221), with a = 4.4054 Å, b = 4.4054 Å, c = 4.4054 Å, α = 90.00°, β = 90.00° and γ = 90.00°. The asymmetric unit holds Ga at (0.0000, 0.0000, 0.0000), Fe at (0.5000, 0.5000, 0.5000) and Cu at (0.0000, 0.0000, 0.5000).

The total energy comes out at -3.839 eV/atom. Its polymorph energy (0 for the lowest one) is 0 meV/atom.